# 1
The following is a PBE calculation of an optimized crystal structure of BaNi2Ag, from Alexandria via LeMat-Bulk.

Cell and atoms, written as POSCAR:
```
BaNi2Ag
1.0
2.159 1.246 5.581
-2.159 1.246 5.581
0.000 -2.493 5.581
Ba Ni Ag
1 2 1
direct
0.000 0.000 0.000
0.193 0.193 0.193
0.520 0.520 0.520
0.809 0.809 0.809
```

Results
- energy of formation (eV/atom) = 0.051
- density (Mg/m³) = 6.683
- space group = R3m (160)
- final energy (eV/atom) = -4.033



# 2
The following is a PBE calculation of an optimized crystal structure of Ba4NiAg, from Alexandria via LeMat-Bulk.

Cell and atoms, written as POSCAR:
```
Ba4NiAg
1.0
-5.555 5.555 5.024
5.555 -5.555 5.024
5.555 5.555 -5.024
Ba Ni Ag
8 2 2
direct
0.202 0.250 0.548
0.202 0.654 0.952
0.250 0.202 0.048
0.346 0.798 0.548
0.654 0.202 0.452
0.750 0.798 0.952
0.798 0.346 0.048
0.798 0.750 0.452
0.375 0.625 0.750
0.625 0.375 0.250
0.125 0.875 0.250
0.875 0.125 0.750
```

Results
- energy of formation (eV/atom) = 0.106
- energy above the most stable polymorph in this dataset (meV per atom) = 0.0
- density (Mg/m³) = 3.834
- space group = I4_1/amd (141)
- final energy (eV/atom) = -2.615



# 3
The following is a PBE calculation of an optimized crystal structure of Ba3NiAg, from Alexandria via LeMat-Bulk.

Cell and atoms, written as POSCAR:
```
Ba3NiAg
1.0
5.975 0.000 0.000
0.000 5.975 0.000
0.000 0.000 5.975
Ba Ni Ag
3 1 1
direct
0.000 0.000 0.500
0.000 0.500 0.000
0.500 0.000 0.000
0.000 0.000 0.000
0.500 0.500 0.500
```

Results
- energy of formation (eV/atom) = 0.058
- energy above the most stable polymorph in this dataset (meV per atom) = 149.8
- density (Mg/m³) = 4.504
- space group = Pm-3m (221)
- final energy (eV/atom) = -2.822



# 4
The following is a PBE calculation of an optimized crystal structure of BaNi2Ag, from Alexandria via LeMat-Bulk.

Cell and atoms, written as POSCAR:
```
BaNi2Ag
1.0
-2.365 2.365 8.946
2.365 -2.365 8.946
2.365 2.365 -8.946
Ba Ni Ag
2 4 2
direct
0.375 0.625 0.750
0.625 0.375 0.250
0.000 0.000 0.000
0.000 0.000 0.500
0.000 0.500 0.000
0.500 0.000 0.500
0.125 0.875 0.250
0.875 0.125 0.750
```

Results
- energy of formation (eV/atom) = 0.216
- density (Mg/m³) = 6.017
- space group = I4_1/amd (141)
- final energy (eV/atom) = -3.869



# 5
The following is a PBE calculation of an optimized crystal structure of Ba8NiAg2, from Alexandria via LeMat-Bulk.

Cell and atoms, written as POSCAR:
```
Ba8NiAg2
1.0
7.668 -4.217 0.000
7.668 4.217 0.000
-0.042 0.000 8.727
Ba Ni Ag
8 1 2
direct
0.198 0.198 0.894
0.204 0.713 0.758
0.287 0.796 0.242
0.297 0.297 0.397
0.703 0.703 0.603
0.713 0.204 0.758
0.796 0.287 0.242
0.802 0.802 0.106
0.000 0.000 0.000
0.094 0.094 0.546
0.906 0.906 0.454
```

Results
- energy of formation (eV/atom) = -0.062
- density (Mg/m³) = 4.040
- space group = C2/m (12)
- final energy (eV/atom) = -2.504



# 6
The following is a PBE calculation of an optimized crystal structure of BaNi2Ag, from Alexandria via LeMat-Bulk.

Cell and atoms, written as POSCAR:
```
BaNi2Ag
1.0
-1.673 2.536 4.864
1.673 -2.536 4.864
1.673 2.536 -4.864
Ba Ni Ag
1 2 1
direct
0.000 0.000 0.000
0.295 0.795 0.500
0.469 0.469 0.000
0.704 0.204 0.500
```

Results
- energy of formation (eV/atom) = 0.392
- density (Mg/m³) = 7.296
- space group = Imm2 (44)
- final energy (eV/atom) = -3.692



# 7
The following is a PBE calculation of an optimized crystal structure of Ba3NiAg, from Alexandria via LeMat-Bulk.

Cell and atoms, written as POSCAR:
```
Ba3NiAg
1.0
9.687 -2.192 0.000
9.687 2.192 0.000
-1.867 0.000 9.848
Ba Ni Ag
6 2 2
direct
0.060 0.060 0.342
0.223 0.223 0.710
0.393 0.393 0.042
0.607 0.607 0.958
0.777 0.777 0.290
0.940 0.940 0.658
0.237 0.237 0.027
0.763 0.763 0.973
0.428 0.428 0.395
0.572 0.572 0.605
```

Results
- energy of formation (eV/atom) = -0.092
- energy above the most stable polymorph in this dataset (meV per atom) = 0.0
- density (Mg/m³) = 4.594
- space group = C2/m (12)
- final energy (eV/atom) = -2.972



# 8
The following is a PBE calculation of an optimized crystal structure of Ba5NiAg, from Alexandria via LeMat-Bulk.

Cell and atoms, written as POSCAR:
```
Ba5NiAg
1.0
6.916 -4.896 0.000
6.916 4.896 0.000
-4.402 0.000 10.601
Ba Ni Ag
10 2 2
direct
0.090 0.910 0.750
0.157 0.317 0.641
0.243 0.642 0.033
0.317 0.157 0.141
0.358 0.757 0.467
0.642 0.243 0.533
0.683 0.843 0.859
0.757 0.358 0.967
0.843 0.683 0.359
0.910 0.090 0.250
0.000 0.000 0.000
0.000 0.000 0.500
0.433 0.567 0.750
0.567 0.433 0.250
```

Results
- energy of formation (eV/atom) = -0.017
- density (Mg/m³) = 3.947
- space group = C2/c (15)
- final energy (eV/atom) = -2.624



# 9
The following is a PBE calculation of an optimized crystal structure of Ba4NiAg, from Alexandria via LeMat-Bulk.

Cell and atoms, written as POSCAR:
```
Ba4NiAg
1.0
0.000 5.020 5.020
5.020 0.000 5.020
5.020 5.020 0.000
Ba Ni Ag
4 1 1
direct
0.125 0.125 0.125
0.125 0.125 0.626
0.125 0.626 0.125
0.626 0.125 0.125
0.750 0.750 0.750
0.500 0.500 0.500
```

Results
- energy of formation (eV/atom) = 0.818
- energy above the most stable polymorph in this dataset (meV per atom) = 712.5
- density (Mg/m³) = 4.699
- space group = F-43m (216)
- final energy (eV/atom) = -1.902



# 10
The following is a PBE calculation of an optimized crystal structure of BaNi2Ag, from Alexandria via LeMat-Bulk.

Cell and atoms, written as POSCAR:
```
BaNi2Ag
1.0
4.695 0.000 0.000
0.000 4.468 0.000
-0.010 0.000 4.826
Ba Ni Ag
1 2 1
direct
0.000 0.000 0.000
0.240 0.500 0.502
0.760 0.500 0.498
0.500 0.000 0.500
```

Results
- energy of formation (eV/atom) = 0.244
- density (Mg/m³) = 5.949
- space group = P2/m (10)
- final energy (eV/atom) = -3.840



# 11
The following is a PBE calculation of an optimized crystal structure of BaNi2Ag, from Alexandria via LeMat-Bulk.

Cell and atoms, written as POSCAR:
```
BaNi2Ag
1.0
3.274 0.000 0.000
0.000 3.274 0.000
0.000 0.000 7.445
Ba Ni Ag
1 2 1
direct
0.000 0.000 0.000
0.000 0.000 0.427
0.500 0.500 0.306
0.500 0.500 0.650
```

Results
- energy of formation (eV/atom) = 0.329
- density (Mg/m³) = 7.542
- space group = P4mm (99)
- final energy (eV/atom) = -3.755



# 12
The following is a PBE calculation of an optimized crystal structure of BaNi2Ag, from Alexandria via LeMat-Bulk.

Cell and atoms, written as POSCAR:
```
BaNi2Ag
1.0
3.987 0.000 0.000
0.000 2.030 5.491
0.000 -2.030 5.491
Ba Ni Ag
1 2 1
direct
0.000 0.000 0.000
0.000 0.273 0.273
0.500 0.372 0.372
0.500 0.721 0.721
```

Results
- energy of formation (eV/atom) = 0.235
- density (Mg/m³) = 6.772
- space group = Amm2 (38)
- final energy (eV/atom) = -3.849



# 13
The following is a PBE calculation of an optimized crystal structure of BaNi2Ag, from Alexandria via LeMat-Bulk.

Cell and atoms, written as POSCAR:
```
BaNi2Ag
1.0
-2.316 2.857 3.496
2.316 -2.857 3.496
2.316 2.857 -3.496
Ba Ni Ag
1 2 1
direct
0.000 0.000 0.000
0.332 0.832 0.500
0.668 0.168 0.500
0.500 0.500 0.000
```

Results
- energy of formation (eV/atom) = 0.423
- density (Mg/m³) = 6.506
- space group = Immm (71)
- final energy (eV/atom) = -3.661